# 1
The following is a DFT calculation (PBE) of a relaxed TeP2S2 crystal.

Properties
- E above lowest polymorph (meV per atom) = 0
- E_form (uncorrected) (eV per atom) = 0.5739
- DOS(E_F) (states/eV per atom) = 0.97

The structure in POSCAR format:
```
TeP2S2
1.0
4.459 0.000 0.000
0.000 4.459 0.000
0.000 0.000 4.773
P S Te
2 2 1
Direct
0.000 0.000 0.000
0.000 0.000 0.500
0.000 0.500 0.000
0.500 0.000 0.000
0.500 0.500 0.500
```

# 2
The following is a DFT calculation (PBE) of a relaxed ScPaGe2 crystal.

Properties
- E above lowest polymorph (meV per atom) = 103
- energy of formation from the pure elements (eV/atom) = -0.460
- DOS(E_F) (states/eV per atom) = 1.50

The structure in POSCAR format:
```
ScPaGe2
1.0
-3.694 2.421 2.111
-4.101 -2.376 1.224
-1.061 -0.782 4.714
Ge Pa Sc
2 1 1
Direct
0.750 0.750 0.750
0.250 0.250 0.250
0.000 0.000 0.000
0.500 0.500 0.500
```

# 3
The following is a DFT calculation (PBE) of a relaxed LaPr3Er crystal.

Properties
- E above lowest polymorph (meV per atom) = 0
- energy of formation from the pure elements (eV/atom) = 0.172
- DOS(E_F) (states/eV per atom) = 1.65

The structure in POSCAR format:
```
LaPr3Er
1.0
6.454 0.000 -2.497
-0.806 5.729 -2.084
-0.018 0.186 9.542
Pr La Er
6 2 2
Direct
0.884 0.902 0.305
0.579 0.098 0.695
0.421 0.902 0.305
0.226 0.475 0.453
0.116 0.098 0.695
0.774 0.525 0.547
0.000 0.500 0.000
0.000 0.000 0.000
0.449 0.700 0.899
0.551 0.300 0.101
```

# 4
The following is a DFT calculation (PBE) of a relaxed Li2Ho2Si4Ni crystal.

Properties
- E_form (uncorrected) (eV per atom) = -0.4950
- DOS(E_F) (states/eV per atom) = 0.34

The structure in POSCAR format:
```
Li2Ho2Si4Ni
1.0
-4.005 1.627 -4.071
4.164 -4.057 -1.212
-1.528 -3.317 4.683
Ni Ho Si Li
1 2 4 2
Direct
0.000 0.000 0.000
0.500 0.750 0.250
0.500 0.250 0.750
0.436 0.718 0.718
0.000 0.718 0.282
0.564 0.282 0.282
0.000 0.282 0.718
0.000 0.719 0.719
0.000 0.281 0.281
```

# 5
The following is a DFT calculation (PBE) of a relaxed YPa3N crystal.

Properties
- E_form (uncorrected) (eV per atom) = -0.4709
- DOS(E_F) (states/eV per atom) = 1.21

The structure in POSCAR format:
```
YPa3N
1.0
-2.810 -1.768 -3.524
3.811 -2.325 -1.873
-1.008 -3.861 2.741
Pa Y N
3 1 1
Direct
0.500 0.000 0.000
0.000 0.000 0.500
0.000 0.500 0.000
0.500 0.500 0.500
0.000 0.000 0.000
```

# 6
The following is a DFT calculation (PBE) of a relaxed ScTiN crystal.

Properties
- E above lowest polymorph (meV per atom) = 329
- E_form (uncorrected) (eV per atom) = -0.8947
- DOS(E_F) (states/eV per atom) = 0.73

The structure in POSCAR format:
```
ScTiN
1.0
4.105 0.000 0.000
0.000 6.298 -0.564
-2.053 -1.413 8.085
N Sc Ti
4 4 4
Direct
0.694 0.065 0.387
0.284 0.382 0.568
0.306 0.935 0.613
0.716 0.618 0.432
0.605 0.749 0.209
0.045 0.274 0.090
0.955 0.726 0.910
0.395 0.251 0.791
0.231 0.627 0.462
0.794 0.923 0.588
0.769 0.373 0.538
0.206 0.077 0.412
```

# 7
The following is a DFT calculation (PBE) of a relaxed Y2InSe crystal.

Properties
- E above lowest polymorph (meV per atom) = 78
- E_form (uncorrected) (eV per atom) = -1.0590
- DOS(E_F) (states/eV per atom) = 0.67

The structure in POSCAR format:
```
Y2InSe
1.0
3.885 0.000 0.000
1.942 3.364 0.000
1.942 1.121 8.277
Y Se In
2 1 1
Direct
0.071 0.071 0.787
0.262 0.262 0.214
0.667 0.667 0.998
0.500 0.500 0.501
```

# 8
The following is a DFT calculation (PBE) of a relaxed TcNi2Hg crystal.

Properties
- energy of formation from the pure elements (eV/atom) = 0.311
- DOS(E_F) (states/eV per atom) = 0.79

The structure in POSCAR format:
```
TcNi2Hg
1.0
4.131 0.000 0.000
0.000 2.693 0.009
0.000 1.320 5.113
Ni Hg Tc
2 1 1
Direct
0.500 0.052 0.271
0.000 0.184 0.006
0.500 0.796 0.783
0.000 0.468 0.440
```

- The highest DOS(E_F) belongs to which entry?
  LaPr3Er